Entry 1:
12
Lattice="-4.385 -4.499 -0.412 4.247 -0.160 4.645 -5.389 4.786 5.091" Properties=species:S:1:pos:R:3 comment="SrV2IrSe8 PBE-GGA relaxed" sg="No. 147" dft_energy_ev_per_atom=-5.268 magnetic_moment_mub_per_cell=0.0 formation_energy_uncorrected_kj_per_mol_atoms=-52.8 pbc="T T T"
Ir -2.694 2.393 2.546
Se 1.094 1.385 4.885
V -2.894 -1.821 2.583
Se -4.966 1.749 3.364
Se -6.621 -1.257 4.439
Se -3.787 -0.012 6.269
Sr 0.000 0.000 0.000
V -2.633 1.949 6.741
Se -0.561 -1.621 5.960
Se -1.516 -3.046 1.281
Se -1.740 0.140 3.055
Se -4.011 3.173 8.043


Entry 2:
5
Lattice="4.964 0.000 0.000 0.000 4.917 0.000 0.000 0.000 4.964" Properties=species:S:1:pos:R:3 comment="SrIrWSe2 PBE-GGA relaxed" sg="No. 123" dft_energy_ev_per_atom=-6.244 magnetic_moment_mub_per_cell=0.0 formation_energy_uncorrected_kj_per_mol_atoms=-14.5 pbc="T T T"
Sr 2.482 2.459 2.482
Se 2.482 0.000 0.000
Se 0.000 0.000 2.482
W 0.000 0.000 0.000
Ir 0.000 2.459 0.000


Copy entry 1 word for word.
12
Lattice="-4.385 -4.499 -0.412 4.247 -0.160 4.645 -5.389 4.786 5.091" Properties=species:S:1:pos:R:3 comment="SrV2IrSe8 PBE-GGA relaxed" sg="No. 147" dft_energy_ev_per_atom=-5.268 magnetic_moment_mub_per_cell=0.0 formation_energy_uncorrected_kj_per_mol_atoms=-52.8 pbc="T T T"
Ir -2.694 2.393 2.546
Se 1.094 1.385 4.885
V -2.894 -1.821 2.583
Se -4.966 1.749 3.364
Se -6.621 -1.257 4.439
Se -3.787 -0.012 6.269
Sr 0.000 0.000 0.000
V -2.633 1.949 6.741
Se -0.561 -1.621 5.960
Se -1.516 -3.046 1.281
Se -1.740 0.140 3.055
Se -4.011 3.173 8.043